# Au2I2Br7 (GGA-PBE, optimized geometry)
# Magnetic moment: 0.98 μB/f.u.
# Calculated total energy: -1.952 eV/atom
data_Au2I2Br7
_chemical_formula_sum 'Au4 I4 Br14'
_cell_length_a 8.1681
_cell_length_b 8.1681
_cell_length_c 16.3927
_cell_angle_alpha 96.53
_cell_angle_beta 96.53
_cell_angle_gamma 112.62
_symmetry_space_group_name_H-M 'P 1'
_symmetry_Int_Tables_number 1
_symmetry_space_group_name_Hall 'P 1'
loop_
_atom_site_label
_atom_site_type_symbol
_atom_site_fract_x
_atom_site_fract_y
_atom_site_fract_z
Au1 Au 0.3686 0.7336 0.4296
Au2 Au 0.2664 0.6314 0.0704
Au3 Au 0.7336 0.3686 0.9296
Au4 Au 0.6314 0.2664 0.5704
I1 I 0.3125 0.3027 0.2569
I2 I 0.3027 0.3125 0.7569
I3 I 0.6973 0.6875 0.2431
I4 I 0.6875 0.6973 0.7431
Br1 Br 0.0520 0.6164 0.4343
Br2 Br 0.1218 0.3255 0.0962
Br3 Br 0.4778 0.2855 0.4006
Br4 Br 0.0043 0.9957 0.2500
Br5 Br 0.6164 0.0520 0.9343
Br6 Br 0.3255 0.1218 0.5962
Br7 Br 0.2855 0.4778 0.9006
Br8 Br 0.7145 0.5222 0.0994
Br9 Br 0.6745 0.8782 0.4038
Br10 Br 0.3836 0.9480 0.0657
Br11 Br 0.9957 0.0043 0.7500
Br12 Br 0.5222 0.7145 0.5994
Br13 Br 0.8782 0.6745 0.9038
Br14 Br 0.9480 0.3836 0.5657